No. 1
Density functional theory data (GGA-PBE) for a geometry-optimized NaInIr structure.

Geometry as POSCAR:
```
NaInIr
1.0
0.000 3.217 3.217
3.217 0.000 3.217
3.217 3.217 0.000
Na In Ir
1 1 1
direct
0.000 0.000 0.000
0.500 0.500 0.500
0.750 0.750 0.750
```

DFT total energy	-4.01	eV per atom

No. 2
Density functional theory data (GGA-PBE) for a geometry-optimized NaNbInIr structure.

Geometry as POSCAR:
```
NaNbInIr
1.0
0.000 3.303 3.303
3.303 0.000 3.303
3.303 3.303 0.000
Na Nb In Ir
1 1 1 1
direct
0.000 0.000 0.000
0.500 0.500 0.500
0.250 0.250 0.250
0.750 0.750 0.750
```

energy relative to the lowest polymorph listed for this composition	218.1	meV per atom

No. 3
Density functional theory data (GGA-PBE) for a geometry-optimized NaNbInIr structure.

Geometry as POSCAR:
```
NaNbInIr
1.0
0.000 3.262 3.262
3.262 0.000 3.262
3.262 3.262 0.000
Na Nb In Ir
1 1 1 1
direct
0.000 0.000 0.000
0.250 0.250 0.250
0.750 0.750 0.750
0.500 0.500 0.500
```

energy relative to the lowest polymorph listed for this composition	0.0	meV per atom

No. 4
Density functional theory data (GGA-PBE) for a geometry-optimized Na2In4IrPd structure.

Geometry as POSCAR:
```
Na2In4IrPd
1.0
7.917 0.000 0.000
0.000 2.122 5.330
0.000 -2.122 5.330
Na In Ir Pd
2 4 1 1
direct
0.000 0.000 0.000
0.500 0.129 0.129
0.205 0.708 0.708
0.302 0.424 0.424
0.698 0.424 0.424
0.795 0.708 0.708
0.500 0.845 0.845
0.000 0.283 0.283
```

DFT total energy	-3.69	eV per atom

No. 5
Density functional theory data (GGA-PBE) for a geometry-optimized Na4In2IrPd structure.

Geometry as POSCAR:
```
Na4In2IrPd
1.0
4.805 0.000 0.000
0.000 4.805 0.000
0.000 0.000 6.815
Na In Ir Pd
4 2 1 1
direct
0.000 0.000 0.000
0.000 0.500 0.246
0.500 0.000 0.754
0.500 0.500 0.500
0.000 0.500 0.734
0.500 0.000 0.266
0.000 0.000 0.500
0.500 0.500 0.000
```

DFT total energy	-3.14	eV per atom

No. 6
Density functional theory data (GGA-PBE) for a geometry-optimized Na4In2IrPt structure.

Geometry as POSCAR:
```
Na4In2IrPt
1.0
4.794 0.000 0.000
0.000 4.794 0.000
0.000 0.000 6.790
Na In Ir Pt
4 2 1 1
direct
0.000 0.000 0.000
0.000 0.500 0.248
0.500 0.000 0.752
0.500 0.500 0.500
0.000 0.500 0.740
0.500 0.000 0.260
0.000 0.000 0.500
0.500 0.500 0.000
```

DFT total energy	-3.27	eV per atom